# Pr2ScCrO6 | the Alexandria database | GGA+U | relaxed
data_Pr2ScCrO6
_symmetry_space_group_name_H-M 'P 1 21/c 1'
_symmetry_Int_Tables_number 14
_cell_length_a 5.5761
_cell_length_b 5.7406
_cell_length_c 9.7099
_cell_angle_alpha 90.00
_cell_angle_beta 124.81
_cell_angle_gamma 90.00
loop_
_symmetry_equiv_pos_as_xyz
'x,y,z'
'-x,-y,-z'
'-x,y+1/2,-z+1/2'
'x,-y+1/2,z+1/2'
loop_
_atom_site_label
_atom_site_type_symbol
_atom_site_fract_x
_atom_site_fract_y
_atom_site_fract_z
_atom_site_occupancy
Pr1 Pr 0.2362 0.0516 0.2497 1
Sc1 Sc 0.5000 0.0000 0.0000 1
Cr1 Cr 0.0000 0.0000 0.5000 1
O1 O 0.1492 0.2100 0.9493 1
O2 O 0.2399 0.7019 0.9498 1
O3 O 0.3397 0.0299 0.7451 1
# Density of states at the Fermi level   0.000 states/eV/atom
# Uncorrected energy   -168.11 eV/cell
# Magnetic moment   6.00 Bohr magnetons per cell